Tb5Ho2Er | Alexandria | PBE | relaxed; formation enthalpy at 0 K = 1.4 kJ/mol of atoms; calculated volume = 31.3 A^3/atom; density of states at the Fermi level = 18.72 states/eV/cell; relative energy among the computed polymorphs = 0 meV per atom
1.0
7.079 0.000 0.000
0.000 14.159 0.000
0.000 0.000 4.995
Tb Ho Er
10 4 2
Direct
0.000 0.000 0.000
0.000 0.250 0.000
0.000 0.750 0.000
0.250 0.125 0.500
0.250 0.625 0.500
0.500 0.250 0.000
0.500 0.500 0.000
0.500 0.750 0.000
0.750 0.375 0.500
0.750 0.875 0.500
0.250 0.375 0.500
0.250 0.875 0.500
0.750 0.125 0.500
0.750 0.625 0.500
0.000 0.500 0.000
0.500 0.000 0.000